Entry i
# Si2PdAu

Si2PdAu after structural relaxation (PBE, Alexandria).

Cell: 4.4750 4.4750 4.4750 Å, 60.00 60.00 60.00°
Positions (direct):
1 Pd 0.0000 0.0000 0.0000
2 Si 0.7500 0.7500 0.7500
3 Si 0.2500 0.2500 0.2500
4 Au 0.5000 0.5000 0.5000

V (Å³ per cell): 63



Entry ii
# Si2PdAu

Si2PdAu after structural relaxation (PBE, Alexandria).

Cell: 4.0945 4.0945 6.5184 Å, 71.70 71.70 60.00°
Positions (direct):
1 Si 0.1310 0.1310 0.6070
2 Si 0.8690 0.8690 0.3930
3 Au 0.0000 0.0000 0.0000
4 Pd 0.5000 0.5000 0.5000

V (Å³ per cell): 88



Stability order, top to bottom: entry ii, entry i



Entry i
# SiPd8Au2

SiPd8Au2 after structural relaxation (PBE, Alexandria).

Cell: 4.8711 7.0969 7.2371 Å, 60.64 74.63 57.28°
Positions (direct):
1 Pd 0.6833 0.6313 0.0000
2 Pd 0.5000 0.1865 0.6270
3 Pd 0.3167 0.3687 0.0000
4 Pd 0.5000 0.8135 0.3730
5 Pd 0.8693 0.3277 0.7872
6 Pd 0.8693 0.1150 0.2128
7 Pd 0.1307 0.6723 0.2128
8 Pd 0.1307 0.8850 0.7872
9 Si 0.5000 0.0000 0.0000
10 Au 0.0000 0.7022 0.5956
11 Au 0.0000 0.2978 0.4044

V (Å³ per cell): 183



Entry ii
# SiPd8Au2

SiPd8Au2 after structural relaxation (PBE, Alexandria).

Cell: 4.8976 5.7561 7.2884 Å, 108.49 104.16 103.37°
Positions (direct):
1 Pd 0.0838 0.3501 0.2243
2 Pd 0.8733 0.6026 0.7756
3 Pd 0.0977 0.8270 0.2244
4 Pd 0.5449 0.3661 0.0000
5 Pd 0.6312 0.2373 0.3772
6 Pd 0.8595 0.1258 0.7757
7 Pd 0.2540 0.8601 0.6228
8 Pd 0.5656 0.8487 0.0000
9 Au 0.2546 0.3515 0.6107
10 Au 0.6439 0.7408 0.3893
11 Si 0.1866 0.0239 0.0000

V (Å³ per cell): 178



Stability order, top to bottom: entry ii, entry i



Entry i
# Sm2Pd5Au5

Sm2Pd5Au5 after structural relaxation (PBE, Alexandria).

Cell: 4.6159 5.4462 9.4237 Å, 90.00 90.00 90.00°
Positions (direct):
1 Au 0.5000 0.7504 0.7534
2 Au 0.5000 0.5000 0.5000
3 Au 0.5000 0.2496 0.2466
4 Au 0.5000 0.7504 0.2466
5 Au 0.5000 0.2496 0.7534
6 Sm 0.0000 0.0000 0.5000
7 Sm 0.0000 0.5000 0.0000
8 Pd 0.5000 0.0000 0.0000
9 Pd 0.0000 0.0000 0.1629
10 Pd 0.0000 0.5000 0.3343
11 Pd 0.0000 0.0000 0.8371
12 Pd 0.0000 0.5000 0.6657

V (Å³ per cell): 237



Entry ii
# Sm2Pd5Au5

Sm2Pd5Au5 after structural relaxation (PBE, Alexandria).

Cell: 4.5534 5.4788 9.4951 Å, 90.00 90.00 90.00°
Positions (direct):
1 Au 0.5000 0.0000 0.0000
2 Au 0.0000 0.0000 0.1720
3 Au 0.0000 0.5000 0.6671
4 Au 0.0000 0.0000 0.8280
5 Au 0.0000 0.5000 0.3329
6 Sm 0.0000 0.5000 0.0000
7 Sm 0.0000 0.0000 0.5000
8 Pd 0.5000 0.7491 0.2518
9 Pd 0.5000 0.7491 0.7482
10 Pd 0.5000 0.2509 0.7482
11 Pd 0.5000 0.2509 0.2518
12 Pd 0.5000 0.5000 0.5000

V (Å³ per cell): 237



Stability order, top to bottom: entry i, entry ii



Entry i
# SmPd2Au6

SmPd2Au6 after structural relaxation (PBE, Alexandria).

Cell: 3.0890 8.2312 8.2312 Å, 57.52 79.18 79.18°
Positions (direct):
1 Au 0.5000 0.3289 0.6711
2 Au 0.3254 0.9978 0.3514
3 Au 0.6746 0.6486 0.0022
4 Au 0.3254 0.3514 0.9978
5 Au 0.5000 0.6711 0.3289
6 Au 0.6746 0.0022 0.6486
7 Pd 0.1498 0.3502 0.3502
8 Pd 0.8502 0.6498 0.6498
9 Sm 0.0000 0.0000 0.0000

V (Å³ per cell): 172



Entry ii
# SmPd2Au6

SmPd2Au6 after structural relaxation (PBE, Alexandria).

Cell: 4.1517 6.6935 6.6685 Å, 107.53 108.14 90.00°
Positions (direct):
1 Au 0.8281 0.4899 0.6563
2 Au 0.3908 0.8425 0.7815
3 Au 0.1719 0.5101 0.3437
4 Au 0.7271 0.8407 0.4543
5 Au 0.2729 0.1593 0.5457
6 Au 0.6092 0.1575 0.2185
7 Pd 0.0515 0.8315 0.1029
8 Pd 0.9485 0.1685 0.8971
9 Sm 0.5000 0.5000 0.0000

V (Å³ per cell): 167



Stability order, top to bottom: entry ii, entry i



Entry i
# SmPd3Au

SmPd3Au after structural relaxation (PBE, Alexandria).

Cell: 4.5453 6.1344 6.9471 Å, 90.00 90.00 90.00°
Positions (direct):
1 Sm 0.5000 0.0000 0.2141
2 Sm 0.0000 0.5000 0.7859
3 Pd 0.0000 0.2868 0.2460
4 Pd 0.5000 0.7868 0.7540
5 Pd 0.0000 0.0000 0.9340
6 Pd 0.5000 0.2132 0.7540
7 Pd 0.5000 0.5000 0.0660
8 Pd 0.0000 0.7132 0.2460
9 Au 0.5000 0.5000 0.4493
10 Au 0.0000 0.0000 0.5507

V (Å³ per cell): 194



Entry ii
# SmPd3Au

SmPd3Au after structural relaxation (PBE, Alexandria).

Cell: 5.1983 5.1983 9.9813 Å, 105.09 105.09 90.00°
Positions (direct):
1 Pd 0.1244 0.3772 0.2487
2 Pd 0.1285 0.8756 0.7513
3 Pd 0.7345 0.7345 0.4690
4 Pd 0.2655 0.2655 0.5310
5 Pd 0.6228 0.8756 0.7513
6 Pd 0.1244 0.8715 0.2487
7 Sm 0.6435 0.1435 0.2871
8 Sm 0.8565 0.3565 0.7129
9 Au 0.0000 0.0000 0.0000
10 Au 0.2500 0.7500 0.5000

V (Å³ per cell): 251



Stability order, top to bottom: entry i, entry ii



Entry i
# Sm8Pd2Au

Sm8Pd2Au after structural relaxation (PBE, Alexandria).

Cell: 5.2176 6.8411 9.5640 Å, 107.10 105.83 90.00°
Positions (direct):
1 Sm 0.3260 0.9958 0.6519
2 Sm 0.6740 0.0042 0.3481
3 Sm 0.7978 0.6561 0.5956
4 Sm 0.2022 0.3439 0.4044
5 Sm 0.0288 0.7836 0.0575
6 Sm 0.4068 0.5290 0.8136
7 Sm 0.5932 0.4710 0.1864
8 Sm 0.9712 0.2164 0.9425
9 Pd 0.1732 0.7382 0.3464
10 Pd 0.8268 0.2618 0.6536
11 Au 0.5000 0.0000 0.0000

V (Å³ per cell): 313



Entry ii
# Sm8Pd2Au

Sm8Pd2Au after structural relaxation (PBE, Alexandria).

Cell: 5.9591 8.0210 8.0210 Å, 115.68 99.93 99.93°
Positions (direct):
1 Sm 0.5814 0.0932 0.3449
2 Sm 0.9888 0.7805 0.2201
3 Sm 0.1733 0.3794 0.3794
4 Sm 0.8050 0.6302 0.6302
5 Sm 0.3830 0.9121 0.6613
6 Sm 0.3830 0.6613 0.9121
7 Sm 0.5814 0.3449 0.0932
8 Sm 0.9888 0.2201 0.7805
9 Pd 0.4906 0.7041 0.3041
10 Pd 0.4906 0.3041 0.7041
11 Au 0.1338 0.0041 0.0041

V (Å³ per cell): 327



Stability order, top to bottom: entry i, entry ii



Entry i
# Sm6Pd5Au

Sm6Pd5Au after structural relaxation (PBE, Alexandria).

Cell: 7.2405 7.2785 7.2209 Å, 59.74 80.47 70.82°
Positions (direct):
1 Pd 0.5000 0.8397 0.3206
2 Pd 0.0000 0.6692 0.6615
3 Pd 0.0000 0.3308 0.3385
4 Pd 0.5000 0.1603 0.6794
5 Pd 0.5000 0.5000 0.0000
6 Au 0.0000 0.0000 0.0000
7 Sm 0.7423 0.0867 0.3421
8 Sm 0.2577 0.9133 0.6579
9 Sm 0.2474 0.2616 0.0000
10 Sm 0.2577 0.5712 0.3421
11 Sm 0.7423 0.4288 0.6579
12 Sm 0.7526 0.7384 0.0000

V (Å³ per cell): 310



Entry ii
# Sm6Pd5Au

Sm6Pd5Au after structural relaxation (PBE, Alexandria).

Cell: 5.0938 7.1947 8.7998 Å, 65.87 73.48 90.00°
Positions (direct):
1 Pd 0.0000 0.5000 0.0000
2 Pd 0.3342 0.3335 0.3332
3 Pd 0.6656 0.1665 0.6671
4 Pd 0.3344 0.8335 0.3329
5 Pd 0.6658 0.6665 0.6668
6 Au 0.0000 0.0000 0.0000
7 Sm 0.5000 0.2540 0.0000
8 Sm 0.8318 0.0836 0.3366
9 Sm 0.1682 0.9164 0.6634
10 Sm 0.5000 0.7460 0.0000
11 Sm 0.1682 0.4202 0.6634
12 Sm 0.8318 0.5798 0.3366

V (Å³ per cell): 280



Stability order, top to bottom: entry ii, entry i



Entry i
# SmPd6Au2

SmPd6Au2 after structural relaxation (PBE, Alexandria).

Cell: 5.4367 5.4367 7.2590 Å, 90.00 90.00 120.00°
Positions (direct):
1 Pd 0.4999 0.0000 0.1863
2 Pd 0.5001 0.0000 0.8137
3 Pd 0.5001 0.5001 0.1863
4 Pd 0.0000 0.4999 0.1863
5 Pd 0.0000 0.5001 0.8137
6 Pd 0.4999 0.4999 0.8137
7 Au 0.6667 0.3333 0.5000
8 Au 0.3333 0.6667 0.5000
9 Sm 0.0000 0.0000 0.0000

V (Å³ per cell): 186



Entry ii
# SmPd6Au2

SmPd6Au2 after structural relaxation (PBE, Alexandria).

Cell: 6.2835 6.2835 6.2835 Å, 60.00 60.00 60.00°
Positions (direct):
1 Au 0.2500 0.2500 0.2500
2 Au 0.7500 0.7500 0.7500
3 Pd 0.2855 0.7145 0.7145
4 Pd 0.2855 0.2855 0.7145
5 Pd 0.7145 0.2855 0.2855
6 Pd 0.2855 0.7145 0.2855
7 Pd 0.7145 0.2855 0.7145
8 Pd 0.7145 0.7145 0.2855
9 Sm 0.0000 0.0000 0.0000

V (Å³ per cell): 175



Stability order, top to bottom: entry i, entry ii



Entry i
# SmPd2Au8

SmPd2Au8 after structural relaxation (PBE, Alexandria).

Cell: 4.2402 7.2812 7.2812 Å, 107.18 89.99 89.99°
Positions (direct):
1 Au 0.5000 0.6638 0.6638
2 Au 0.5000 0.2484 0.7516
3 Au 0.0000 0.0388 0.3140
4 Au 0.5000 0.3362 0.3362
5 Au 0.5000 0.7516 0.2484
6 Au 0.0000 0.9612 0.6860
7 Au 0.0000 0.6860 0.9612
8 Au 0.0000 0.3140 0.0388
9 Pd 0.0000 0.6153 0.3847
10 Pd 0.0000 0.3847 0.6153
11 Sm 0.5000 0.0000 0.0000

V (Å³ per cell): 215



Entry ii
# SmPd2Au8

SmPd2Au8 after structural relaxation (PBE, Alexandria).

Cell: 4.2178 7.4687 8.0147 Å, 117.77 105.26 90.00°
Positions (direct):
1 Au 0.0000 0.3007 0.0000
2 Au 0.8369 0.8369 0.6738
3 Au 0.0000 0.6993 0.0000
4 Au 0.3346 0.0968 0.6693
5 Au 0.6654 0.9032 0.3307
6 Au 0.1631 0.1631 0.3262
7 Au 0.6654 0.4275 0.3307
8 Au 0.3346 0.5725 0.6693
9 Pd 0.1759 0.6759 0.3519
10 Pd 0.8241 0.3241 0.6481
11 Sm 0.5000 0.0000 0.0000

V (Å³ per cell): 213



Stability order, top to bottom: entry ii, entry i



Entry i
# SmPd8Au2

SmPd8Au2 after structural relaxation (PBE, Alexandria).

Cell: 4.1158 6.4267 7.5675 Å, 104.91 105.78 90.00°
Positions (direct):
1 Pd 0.3160 0.0897 0.6320
2 Pd 0.6840 0.9103 0.3680
3 Pd 0.0470 0.7217 0.0941
4 Pd 0.1381 0.1883 0.2761
5 Pd 0.9530 0.2783 0.9059
6 Pd 0.8619 0.8117 0.7239
7 Pd 0.5911 0.4633 0.1821
8 Pd 0.4089 0.5367 0.8179
9 Au 0.7723 0.3594 0.5446
10 Au 0.2277 0.6406 0.4554
11 Sm 0.5000 0.0000 0.0000

V (Å³ per cell): 186



Entry ii
# SmPd8Au2

SmPd8Au2 after structural relaxation (PBE, Alexandria).

Cell: 4.9305 7.4404 7.9972 Å, 62.28 72.03 48.45°
Positions (direct):
1 Pd 0.7606 0.3782 0.7230
2 Pd 0.7606 0.1011 0.2770
3 Pd 0.5000 0.1954 0.6093
4 Pd 0.2394 0.8989 0.7230
5 Pd 0.2501 0.4995 0.0000
6 Pd 0.5000 0.8046 0.3907
7 Pd 0.7499 0.5005 0.0000
8 Pd 0.2394 0.6218 0.2770
9 Sm 0.5000 0.0000 0.0000
10 Au 0.0000 0.6812 0.6376
11 Au 0.0000 0.3188 0.3624

V (Å³ per cell): 194



Stability order, top to bottom: entry i, entry ii